[1]
First-principles (PBE) data for a relaxed AlCr2Ni crystal, as listed in Alexandria via LeMat-Bulk.

```
4
Lattice="-3.157 -2.120 2.121 -3.061 -3.091 -0.179 2.745 -3.439 1.567" Properties=species:S:1:pos:R:3 pbc="T T T"
Cr 0.039 -0.090 0.040
Cr -0.852 -2.032 0.823
Ni -1.694 -4.396 1.786
Al -2.702 -6.457 2.615
```

Output
The mass density is 6.505 g/cm3. The value obtained for the formation energy is -0.25 kcal/mol of atoms. For the density of states at the Fermi level, the calculation gives 0.9630 states/eV per atom. The value obtained for the volume is 12.1 Å³ per atom.


[2]
First-principles (PBE) data for a relaxed AlCrNi2 crystal, as listed in Alexandria via LeMat-Bulk.

```
4
Lattice="4.060 0.000 0.000 2.030 3.516 0.000 2.030 1.172 3.315" Properties=species:S:1:pos:R:3 pbc="T T T"
Ni 2.030 1.172 0.829
Ni 0.000 0.000 0.000
Al 4.060 2.344 1.657
Cr 6.089 3.516 2.486
```

Output
The mass density is 6.893 g/cm3. The value obtained for the formation energy is -2.69 kcal/mol of atoms. For the density of states at the Fermi level, the calculation gives 1.2618 states/eV per atom. The value obtained for the volume is 11.8 Å³ per atom.


[3]
First-principles (PBE) data for a relaxed AlCr2Ni crystal, as listed in Alexandria via LeMat-Bulk.

```
4
Lattice="4.750 0.005 -0.037 2.284 4.165 0.037 -3.359 -2.351 2.399" Properties=species:S:1:pos:R:3 pbc="T T T"
Cr 7.029 4.167 0.000
Cr 3.523 2.088 0.000
Al 1.221 1.950 1.218
Ni 2.454 -0.131 1.181
```

Output
The mass density is 6.625 g/cm3. The value obtained for the formation energy is -3.78 kcal/mol of atoms. For the density of states at the Fermi level, the calculation gives 0.5922 states/eV per atom. The value obtained for the volume is 11.9 Å³ per atom.


[4]
First-principles (PBE) data for a relaxed Al2CrNi crystal, as listed in Alexandria via LeMat-Bulk.

```
4
Lattice="4.919 -0.003 0.000 2.280 4.355 -0.002 -3.278 -2.708 2.472" Properties=species:S:1:pos:R:3 pbc="T T T"
Al 2.596 -0.281 1.236
Al -3.165 -2.640 2.472
Ni 1.287 1.903 1.235
Cr 3.525 2.131 0.000
```

Output
The mass density is 5.162 g/cm3. The value obtained for the formation energy is -5.16 kcal/mol of atoms. For the density of states at the Fermi level, the calculation gives 0.7233 states/eV per atom. The value obtained for the volume is 13.2 Å³ per atom.